First-principles (PBE) data for a relaxed MgAuN crystal, as listed in the Alexandria database.

Geometry as POSCAR:
```
MgAuN
1.0
-2.7192 -0.3498 1.1434
1.6405 -2.4133 0.5608
2.1240 3.1351 9.8859
N Au Mg
2 2 2
direct
0.8668 0.1454 0.9984
0.7840 0.0944 0.1202
0.3198 0.2394 0.4408
0.8006 0.5273 0.6778
0.0838 0.6811 0.2353
0.3072 0.8163 0.8832
```

Calculated values
crystal system	triclinic

First-principles (PBE) data for a relaxed MgAuN crystal, as listed in the Alexandria database.

Geometry as POSCAR:
```
MgAuN
1.0
4.4062 0.0000 0.0000
0.0000 4.4062 0.0000
0.0000 0.0000 4.3101
Au Mg N
2 2 2
direct
0.0000 0.5000 0.0006
0.5000 0.0000 0.9994
0.5000 0.5000 0.5000
0.0000 0.0000 0.5000
0.0000 0.5000 0.5007
0.5000 0.0000 0.4993
```

Calculated values
crystal system	tetragonal

First-principles (PBE) data for a relaxed MgAuN crystal, as listed in the Alexandria database.

Geometry as POSCAR:
```
MgAuN
1.0
-2.8997 -0.1901 0.3273
-0.1579 -2.4937 -2.8371
-1.8149 -5.1118 7.0994
Au N Mg
2 2 2
direct
0.4691 0.9770 0.7807
0.7535 0.5846 0.9968
0.8432 0.9497 0.4055
0.8431 0.6250 0.4056
0.0665 0.1773 0.1838
0.1916 0.3634 0.5572
```

Calculated values
crystal system	monoclinic

Computed calculated volume (Å³/cell) in order:
86.7; 83.7; 91.0
Computed raw formation energy (eV/atom) in order:
-0.2285; -0.0884; -0.1188